No. 1
First-principles (PBE) data for an optimized crystal structure of TbHoInRu, as listed in Alexandria.

Values from the calculation:
* crystal system: tetragonal
* formation energy: -1.8 eV per formula unit
* distance to the lowest polymorph of the same formula: 0.000 eV/atom

Lattice parameters (Å, degrees): 3.4491 3.4491 7.8601 90.00 90.00 90.00
With the nearest neighbours (Å) after each atom.
Fractional positions:
1 Ru 0.0000 0.0000 0.5679  4 Ho 2.93, 4 Tb 2.96
2 Ho 0.5000 0.5000 0.3609  4 Ru 2.93
3 Tb 0.5000 0.5000 0.7819  4 Ru 2.96, 1 Ho 3.31
4 In 0.0000 0.0000 0.0740  4 Ho 3.32, 4 Tb 3.35, 4 In 3.45

---

No. 2
First-principles (PBE) data for an optimized crystal structure of PmSm2Ho4Mg, as listed in Alexandria.

Values from the calculation:
* crystal system: tetragonal
* formation energy: 0.2 eV per formula unit

Lattice parameters (Å, degrees): 4.9622 4.9702 11.2847 63.87 90.00 90.00
With the nearest neighbours (Å) after each atom.
Fractional positions:
1 Ho 0.5000 0.7471 0.2530  4 Ho 3.51, 2 Mg 3.52, 4 Sm 3.53-3.57, 2 Pm 3.57
2 Ho 0.0000 0.2470 0.2531  4 Ho 3.51, 4 Sm 3.52-3.57, 2 Mg 3.53, 2 Pm 3.57
3 Ho 0.0000 0.7530 0.7469  4 Ho 3.51, 4 Sm 3.52-3.57, 2 Mg 3.53, 2 Pm 3.57
4 Ho 0.5000 0.2529 0.7470  4 Ho 3.51, 2 Mg 3.52, 4 Sm 3.53-3.57, 2 Pm 3.57
5 Sm 0.0000 0.0000 0.0000  4 Pm 3.51, 8 Ho 3.57
6 Sm 0.5000 0.0000 0.5000  4 Mg 3.51, 8 Ho 3.52-3.53
7 Pm 0.5000 0.5000 0.0000  4 Sm 3.51, 8 Ho 3.57
8 Mg 0.0000 0.5000 0.5000  4 Sm 3.51, 8 Ho 3.52-3.53

---

No. 3
First-principles (PBE) data for an optimized crystal structure of AcPmBiSb, as listed in Alexandria.

Values from the calculation:
* energy relative to the elements, uncorrected: -2.71 eV/f.u.
* crystal system: trigonal
* distance to the lowest polymorph of the same formula: 0.124 eV/atom

Lattice parameters (Å, degrees): 5.5630 5.5630 13.0134 77.66 77.66 60.00
With the nearest neighbours (Å) after each atom.
Fractional positions:
1 Bi 0.7038 0.7038 0.8885  4 Pm 3.12-3.23, 1 Ac 3.36
2 Bi 0.2962 0.2962 0.1115  4 Pm 3.12-3.23, 1 Ac 3.36
3 Ac 0.7926 0.7926 0.6222  4 Sb 3.24-3.53, 1 Bi 3.36
4 Ac 0.2074 0.2074 0.3778  4 Sb 3.24-3.53, 1 Bi 3.36
5 Pm 0.3787 0.3787 0.8639  4 Bi 3.12-3.23
6 Pm 0.6213 0.6213 0.1361  4 Bi 3.12-3.23
7 Sb 0.1142 0.1142 0.6573  4 Ac 3.24-3.53
8 Sb 0.8858 0.8858 0.3427  4 Ac 3.24-3.53

---

No. 4
First-principles (PBE) data for an optimized crystal structure of ScCoNiPt2, as listed in Alexandria.

Values from the calculation:
* crystal system: tetragonal
* formation energy: 2.7 eV per formula unit

Lattice parameters (Å, degrees): 4.6250 4.3359 4.6250 90.00 90.00 90.00
With the nearest neighbours (Å) after each atom.
Fractional positions:
1 Ni 0.0000 0.0000 0.0000  2 Sc 2.17, 4 Pt 2.31
2 Co 0.5000 0.5000 0.5000  8 Pt 3.17, 4 Sc 3.27
3 Pt 0.0000 0.0000 0.5000  2 Ni 2.31
4 Pt 0.5000 0.0000 0.0000  2 Ni 2.31
5 Sc 0.0000 0.5000 0.0000  2 Ni 2.17

---

No. 5
First-principles (PBE) data for an optimized crystal structure of Si2TcBiRu, as listed in Alexandria.

Values from the calculation:
* energy relative to the elements, uncorrected: 5.18 eV/f.u.
* crystal system: tetragonal

Lattice parameters (Å, degrees): 4.5444 5.4492 4.5444 90.00 90.00 90.00
With the nearest neighbours (Å) after each atom.
Fractional positions:
1 Tc 0.0000 0.0000 0.0000  4 Si 2.27
2 Si 0.0000 0.0000 0.5000  2 Tc 2.27
3 Si 0.5000 0.0000 0.0000  2 Tc 2.27
4 Bi 0.0000 0.5000 0.0000  2 Tc 2.72
5 Ru 0.5000 0.5000 0.5000  4 Bi 3.21, 8 Si 3.55

---

No. 6
First-principles (PBE) data for an optimized crystal structure of Te3PtS, as listed in Alexandria.

Values from the calculation:
* energy relative to the elements, uncorrected: 3.34 eV/f.u.
* crystal system: cubic
* distance to the lowest polymorph of the same formula: 0.000 eV/atom

Lattice parameters (Å, degrees): 5.2840 5.2840 5.2840 90.00 90.00 90.00
With the nearest neighbours (Å) after each atom.
Fractional positions:
1 Te 0.5000 0.0000 0.0000  2 Pt 2.64
2 Te 0.0000 0.0000 0.5000  2 Pt 2.64
3 Te 0.0000 0.5000 0.0000  2 Pt 2.64
4 S 0.5000 0.5000 0.5000  12 Te 3.74
5 Pt 0.0000 0.0000 0.0000  6 Te 2.64

---

No. 7
First-principles (PBE) data for an optimized crystal structure of SrSi2Rh2, as listed in Alexandria.

Values from the calculation:
* energy relative to the elements, uncorrected: -4.59 eV/f.u.
* crystal system: monoclinic

Lattice parameters (Å, degrees): 4.1580 4.1580 6.0011 110.16 110.16 90.01
With the nearest neighbours (Å) after each atom.
Fractional positions:
1 Sr 0.0000 0.0000 0.0000  8 Si 3.25-3.26, 8 Rh 3.34-3.35
2 Si 0.6344 0.6344 0.2682  4 Rh 2.41
3 Si 0.3656 0.3656 0.7318  4 Rh 2.41
4 Rh 0.7503 0.2497 0.5000  4 Si 2.41
5 Rh 0.2497 0.7503 0.5000  4 Si 2.41

---

No. 8
First-principles (PBE) data for an optimized crystal structure of AgHO3, as listed in Alexandria.

Values from the calculation:
* VASP energy: -2.92 eV/atom
* crystal system: cubic

Lattice parameters (Å, degrees): 4.0085 4.0085 4.0085 90.00 90.00 90.00
With the nearest neighbours (Å) after each atom.
Fractional positions:
1 O 0.0000 0.0000 0.5000  2 Ag 2.00
2 O 0.0000 0.5000 0.0000  2 Ag 2.00
3 O 0.5000 0.0000 0.0000  2 Ag 2.00
4 Ag 0.0000 0.0000 0.0000  6 O 2.00
5 H 0.5000 0.5000 0.5000  12 O 2.83

---

No. 9
First-principles (PBE) data for an optimized crystal structure of HfSc12Al3, as listed in Alexandria.

Values from the calculation:
* crystal system: tetragonal
* formation energy: -2.7 eV per formula unit

Lattice parameters (Å, degrees): 4.4404 4.4404 17.9377 90.00 90.00 90.00
With the nearest neighbours (Å) after each atom.
Fractional positions:
1 Al 0.0000 0.0000 0.2548  12 Sc 3.12-3.17
2 Al 0.0000 0.0000 0.5000  12 Sc 3.13-3.14
3 Al 0.0000 0.0000 0.7452  12 Sc 3.12-3.17
4 Sc 0.5000 0.5000 0.0000  4 Hf 3.14, 8 Sc 3.20
5 Sc 0.0000 0.5000 0.8715  8 Sc 3.14-3.20, 2 Al 3.17, 2 Hf 3.20
6 Sc 0.5000 0.0000 0.3771  8 Sc 3.11-3.14, 4 Al 3.12-3.13
7 Sc 0.5000 0.5000 0.7446  8 Sc 3.11-3.18, 4 Al 3.14
8 Sc 0.0000 0.5000 0.3771  8 Sc 3.11-3.14, 4 Al 3.12-3.13
9 Sc 0.5000 0.0000 0.8715  8 Sc 3.14-3.20, 2 Al 3.17, 2 Hf 3.20
10 Sc 0.0000 0.5000 0.1285  8 Sc 3.14-3.20, 2 Al 3.17, 2 Hf 3.20
11 Sc 0.5000 0.5000 0.2554  8 Sc 3.11-3.18, 4 Al 3.14
12 Sc 0.5000 0.5000 0.5000  8 Sc 3.13, 4 Al 3.14
13 Sc 0.0000 0.5000 0.6229  8 Sc 3.11-3.14, 4 Al 3.12-3.13
14 Sc 0.5000 0.0000 0.6229  8 Sc 3.11-3.14, 4 Al 3.12-3.13
15 Sc 0.5000 0.0000 0.1285  8 Sc 3.14-3.20, 2 Al 3.17, 2 Hf 3.20
16 Hf 0.0000 0.0000 0.0000  12 Sc 3.14-3.20

---

No. 10
First-principles (PBE) data for an optimized crystal structure of Fe7W, as listed in Alexandria.

Values from the calculation:
* crystal system: cubic
* formation energy: 1.3 eV per formula unit
* distance to the lowest polymorph of the same formula: 0.027 eV/atom

Lattice parameters (Å, degrees): 5.0333 5.0333 5.0333 60.00 60.00 60.00
With the nearest neighbours (Å) after each atom.
Fractional positions:
1 Fe 0.5000 0.5000 0.5000  12 Fe 2.52
2 Fe 0.5000 0.0000 0.0000  10 Fe 2.52, 2 W 2.52
3 Fe 0.0000 0.5000 0.0000  10 Fe 2.52, 2 W 2.52
4 Fe 0.0000 0.0000 0.5000  10 Fe 2.52, 2 W 2.52
5 Fe 0.0000 0.5000 0.5000  10 Fe 2.52, 2 W 2.52
6 Fe 0.5000 0.0000 0.5000  10 Fe 2.52, 2 W 2.52
7 Fe 0.5000 0.5000 0.0000  2 W 2.52, 10 Fe 2.52
8 W 0.0000 0.0000 0.0000  12 Fe 2.52

---

No. 11
First-principles (PBE) data for an optimized crystal structure of Li3Ag2Pd5, as listed in Alexandria.

Values from the calculation:
* crystal system: orthorhombic
* formation energy: -0.9 eV per formula unit
* distance to the lowest polymorph of the same formula: 0.170 eV/atom

Lattice parameters (Å, degrees): 5.2690 8.2463 8.2463 92.97 71.37 71.37
With the nearest neighbours (Å) after each atom.
Fractional positions:
1 Ag 0.6335 0.1735 0.5596  4 Li 2.70-2.95, 6 Pd 2.77-2.98
2 Ag 0.3665 0.8265 0.4404  4 Li 2.70-2.95, 6 Pd 2.77-2.98
3 Ag 0.8665 0.4404 0.8265  4 Li 2.70-2.95, 6 Pd 2.77-2.98
4 Ag 0.1335 0.5596 0.1735  4 Li 2.70-2.95, 6 Pd 2.77-2.98
5 Pd 0.0807 0.0803 0.7584  3 Li 2.39-2.47
6 Pd 0.0150 0.2350 0.2350  3 Li 2.36-2.48, 2 Pd 2.63
7 Pd 0.4850 0.7650 0.7650  3 Li 2.36-2.48, 2 Pd 2.63
8 Pd 0.2500 0.5000 0.5000  4 Pd 2.63-2.67, 4 Li 2.71
9 Pd 0.5807 0.7584 0.0803  3 Li 2.39-2.47
10 Pd 0.5150 0.2350 0.2350  3 Li 2.36-2.48, 2 Pd 2.63
11 Pd 0.9193 0.9197 0.2416  3 Li 2.39-2.47
12 Pd 0.7500 0.5000 0.5000  4 Pd 2.63-2.67, 4 Li 2.71
13 Pd 0.9850 0.7650 0.7650  3 Li 2.36-2.48, 2 Pd 2.63
14 Pd 0.4193 0.2416 0.9197  3 Li 2.39-2.47
15 Li 0.7500 0.0000 0.0000  6 Pd 2.36-2.47, 2 Li 2.63
16 Li 0.2500 0.0000 0.0000  6 Pd 2.36-2.47, 2 Li 2.63
17 Li 0.3454 0.5057 0.8034  3 Pd 2.39-2.48
18 Li 0.6546 0.4943 0.1966  3 Pd 2.39-2.48
19 Li 0.8454 0.8034 0.5057  3 Pd 2.39-2.48
20 Li 0.1546 0.1966 0.4943  3 Pd 2.39-2.48

---

No. 12
First-principles (PBE) data for an optimized crystal structure of LuThZnPt, as listed in Alexandria.

Values from the calculation:
* crystal system: cubic
* formation energy: -2.7 eV per formula unit

Lattice parameters (Å, degrees): 5.0466 5.0466 5.0466 60.00 60.00 60.00
With the nearest neighbours (Å) after each atom.
Fractional positions:
1 Th 0.5000 0.5000 0.5000  4 Pt 3.09, 4 Zn 3.09
2 Pt 0.7500 0.7500 0.7500  4 Th 3.09, 4 Lu 3.09
3 Zn 0.2500 0.2500 0.2500  4 Lu 3.09, 4 Th 3.09
4 Lu 0.0000 0.0000 0.0000  4 Zn 3.09, 4 Pt 3.09

---

No. 13
First-principles (PBE) data for an optimized crystal structure of TaNb2W4, as listed in Alexandria.

Values from the calculation:
* crystal system: monoclinic
* formation energy: 3.2 eV per formula unit
* distance to the lowest polymorph of the same formula: 0.000 eV/atom

Lattice parameters (Å, degrees): 3.1104 4.5107 8.9809 90.00 94.42 90.00
With the nearest neighbours (Å) after each atom.
Fractional positions:
1 W 0.7776 0.5000 0.6173  6 W 2.61-2.75, 2 Nb 2.64-2.81
2 W 0.2860 0.0000 0.6398  6 W 2.74-2.96, 2 Nb 3.04
3 W 0.7140 0.0000 0.3602  6 W 2.74-2.96, 2 Nb 3.04
4 W 0.2224 0.5000 0.3827  6 W 2.61-2.75, 2 Nb 2.64-2.81
5 Nb 0.7164 0.5000 0.1333  2 W 2.64-2.81, 1 Nb 2.66, 2 Ta 2.73
6 Nb 0.2836 0.5000 0.8667  2 W 2.64-2.81, 1 Nb 2.66, 2 Ta 2.73
7 Ta 0.0000 0.0000 0.0000  4 Nb 2.73

---

No. 14
First-principles (PBE) data for an optimized crystal structure of YZr2Fe, as listed in Alexandria.

Values from the calculation:
* crystal system: monoclinic
* formation energy: 0.2 eV per formula unit
* distance to the lowest polymorph of the same formula: 0.063 eV/atom

Lattice parameters (Å, degrees): 3.2741 3.2656 8.7495 68.39 90.00 90.00
With the nearest neighbours (Å) after each atom.
Fractional positions:
1 Zr 0.0000 0.5607 0.4361  4 Fe 2.75-2.77, 1 Zr 3.03
2 Zr 0.0000 0.9393 0.0639  4 Fe 2.75-2.77, 1 Zr 3.03
3 Fe 0.5000 0.2500 0.2500  8 Zr 2.75-2.77
4 Y 0.5000 0.7500 0.7500  4 Y 3.27, 8 Zr 3.44-3.45

---

No. 15
First-principles (PBE) data for an optimized crystal structure of InGaCoSn2, as listed in Alexandria.

Values from the calculation:
* crystal system: tetragonal
* formation energy: 2.9 eV per formula unit
* distance to the lowest polymorph of the same formula: 0.543 eV/atom

Lattice parameters (Å, degrees): 5.3632 4.5307 5.3632 90.00 90.00 90.00
With the nearest neighbours (Å) after each atom.
Fractional positions:
1 Ga 0.0000 0.0000 0.0000  2 Co 2.27
2 Sn 0.5000 0.0000 0.0000  2 Ga 2.68
3 Sn 0.0000 0.0000 0.5000  2 Ga 2.68
4 In 0.5000 0.5000 0.5000  8 Sn 3.51, 4 Co 3.79
5 Co 0.0000 0.5000 0.0000  2 Ga 2.27

---

No. 16
First-principles (PBE) data for an optimized crystal structure of Pm7YHo3, as listed in Alexandria.

Values from the calculation:
* crystal system: orthorhombic
* formation energy: 2.6 eV per formula unit
* distance to the lowest polymorph of the same formula: 0.116 eV/atom

Lattice parameters (Å, degrees): 5.8817 8.5395 8.5395 82.91 110.13 110.13
With the nearest neighbours (Å) after each atom.
Fractional positions:
1 Pm 0.3052 0.0134 0.5973  2 Ho 3.23-3.61, 3 Pm 3.34-3.48
2 Pm 0.2088 0.2082 0.2082  2 Ho 3.31, 1 Y 3.32, 2 Pm 3.48
3 Pm 0.7912 0.7918 0.7918  2 Ho 3.31, 1 Y 3.32, 2 Pm 3.48
4 Pm 0.3052 0.5973 0.0134  2 Ho 3.23-3.61, 3 Pm 3.34-3.48
5 Pm 0.6948 0.4027 0.9866  2 Ho 3.23-3.61, 3 Pm 3.34-3.48
6 Pm 0.0000 0.5000 0.5000  2 Y 2.94
7 Pm 0.6948 0.9866 0.4027  2 Ho 3.23-3.61, 3 Pm 3.34-3.48
8 Ho 0.0000 0.7954 0.2046  9 Pm 3.31-3.68
9 Ho 0.5000 0.0000 0.0000  4 Pm 3.23
10 Ho 0.0000 0.2046 0.7954  9 Pm 3.31-3.68
11 Y 0.5000 0.5000 0.5000  2 Pm 2.94

---

No. 17
First-principles (PBE) data for an optimized crystal structure of Tb6Ir2C, as listed in Alexandria.

Values from the calculation:
* crystal system: monoclinic
* formation energy: -4.9 eV per formula unit

Lattice parameters (Å, degrees): 6.5407 7.1996 9.3730 90.00 88.35 90.00
With the nearest neighbours (Å) after each atom.
Fractional positions:
1 Tb 0.1702 0.3037 0.5623  1 C 2.53
2 Tb 0.1897 0.3294 0.9418  1 C 2.45
3 Tb 0.3103 0.8294 0.5582  1 C 2.45
4 Tb 0.8103 0.6706 0.0582  1 C 2.45
5 Tb 0.8779 0.9568 0.7455  1 C 2.43
6 Tb 0.6702 0.1963 0.0623  1 C 2.53
7 Tb 0.6897 0.1706 0.4418  1 C 2.45
8 Tb 0.8298 0.6963 0.4377  1 C 2.53
9 Tb 0.6221 0.4568 0.7545  1 C 2.43
10 Tb 0.3298 0.8037 0.9377  1 C 2.53
11 Tb 0.1221 0.0432 0.2545  1 C 2.43
12 Tb 0.3779 0.5432 0.2455  1 C 2.43
13 Ir 0.0367 0.5981 0.7546  6 Tb 2.79-3.03
14 Ir 0.9633 0.4019 0.2454  6 Tb 2.79-3.03
15 Ir 0.4633 0.0981 0.7454  6 Tb 2.79-3.03
16 Ir 0.5367 0.9019 0.2546  6 Tb 2.79-3.03
17 C 0.5000 0.5000 0.0000  6 Tb 2.43-2.53
18 C 0.0000 0.0000 0.5000  6 Tb 2.43-2.53

---

No. 18
First-principles (PBE) data for an optimized crystal structure of CsDy2USe5, as listed in Alexandria.

Values from the calculation:
* energy relative to the elements, uncorrected: -12.92 eV/f.u.
* crystal system: orthorhombic

Lattice parameters (Å, degrees): 5.3176 7.5623 8.4181 116.69 108.41 90.00
With the nearest neighbours (Å) after each atom.
Fractional positions:
1 Dy 0.7965 0.7965 0.5930  3 Se 2.80-2.86
2 Dy 0.2035 0.2035 0.4070  3 Se 2.80-2.86
3 Se 0.3421 0.6076 0.6843  1 Dy 2.80, 1 U 2.84
4 Se 0.6579 0.9234 0.3157  1 Dy 2.80, 1 U 2.84
5 Se 0.3421 0.0766 0.6843  1 Dy 2.80, 1 U 2.84
6 Se 0.6579 0.3924 0.3157  1 Dy 2.80, 1 U 2.84
7 Se 0.0000 0.0000 0.0000  2 U 2.66, 2 Dy 2.86
8 Cs 0.0000 0.5000 0.0000  10 Se 3.78-4.00
9 U 0.5000 0.0000 0.0000  6 Se 2.66-2.84

---

No. 19
First-principles (PBE) data for an optimized crystal structure of UCBr, as listed in Alexandria.

Values from the calculation:
* energy relative to the elements, uncorrected: -1.81 eV/f.u.
* crystal system: tetragonal

Lattice parameters (Å, degrees): 3.8263 3.8263 9.3291 90.00 90.00 90.00
With the nearest neighbours (Å) after each atom.
Fractional positions:
1 U 0.2500 0.2500 0.8726  4 C 2.25
2 U 0.7500 0.7500 0.1274  4 C 2.25
3 Br 0.2502 0.2500 0.3115  4 U 3.20-3.21, 4 C 3.48
4 Br 0.7498 0.7500 0.6885  4 U 3.20-3.21, 4 C 3.48
5 C 0.7500 0.2500 0.0000  4 U 2.25
6 C 0.2500 0.7500 0.0000  4 U 2.25

---

No. 20
First-principles (PBE) data for an optimized crystal structure of GePb3W, as listed in Alexandria.

Values from the calculation:
* crystal system: cubic
* formation energy: 8.8 eV per formula unit

Lattice parameters (Å, degrees): 5.3392 5.3392 5.3392 90.00 90.00 90.00
With the nearest neighbours (Å) after each atom.
Fractional positions:
1 Ge 0.0000 0.0000 0.0000  6 Pb 2.67
2 Pb 0.0000 0.0000 0.5000  2 Ge 2.67
3 Pb 0.5000 0.0000 0.0000  2 Ge 2.67
4 Pb 0.0000 0.5000 0.0000  2 Ge 2.67
5 W 0.5000 0.5000 0.5000  12 Pb 3.78